Entry 1:
Here is crystalline Tm2Ge at its relaxed geometry from the Open Quantum Materials Database. Energies are from PBE.

The structure in POSCAR format:
```
Tm2Ge
1.0
0.0000 4.2727 4.2727
4.2727 0.0000 4.2727
4.2727 4.2727 0.0000
Tm Ge
4 2
Cartesian
0.0000 0.0000 0.0000 Tm
2.1364 2.1364 0.0000 Tm
2.1364 0.0000 2.1364 Tm
0.0000 2.1364 2.1364 Tm
3.2046 3.2046 3.2046 Ge
5.3409 5.3409 5.3409 Ge
```

## Properties
**Total magnetization**: 0.0045 μB/atom
**E_tot**: -4.2138 eV/atom
**Crystal system**: cubic
**ρ**: 8.74 g/cm³



Entry 2:
Here is crystalline Tm2Ge at its relaxed geometry from the Open Quantum Materials Database. Energies are from PBE.

The structure in POSCAR format:
```
Tm2Ge
1.0
7.8070 0.0000 0.0000
-3.9035 6.7610 0.0000
0.0000 0.0000 4.1552
Tm Ge
6 3
Cartesian
-1.5605 2.7029 0.0000 Tm
-2.8608 4.9551 2.0776 Tm
1.0427 1.8059 2.0776 Tm
3.1210 0.0000 0.0000 Tm
2.3430 4.0582 0.0000 Tm
5.7216 0.0000 2.0776 Tm
0.0000 0.0000 0.0000 Ge
0.0000 4.5074 2.0776 Ge
3.9035 2.2537 2.0776 Ge
```

## Properties
**Total magnetization**: 0.1280 μB/atom
**E_tot**: -5.1325 eV/atom
**Crystal system**: hexagonal
**ρ**: 9.32 g/cm³



Entry 3:
Here is crystalline YTmGe at its relaxed geometry from the Open Quantum Materials Database. Energies are from PBE.

The structure in POSCAR format:
```
YTmGe
1.0
0.0000 3.4285 3.4285
3.4285 0.0000 3.4285
3.4285 3.4285 0.0000
Y Tm Ge
1 1 1
Cartesian
0.0000 0.0000 0.0000 Y
3.4285 3.4285 3.4285 Tm
5.1427 5.1427 5.1427 Ge
```

## Properties
**Total magnetization**: 0.0004 μB/atom
**E_tot**: -5.7232 eV/atom
**Crystal system**: cubic
**ρ**: 6.81 g/cm³



Entry 4:
Here is crystalline TmZnGe at its relaxed geometry from the Open Quantum Materials Database. Energies are from PBE.

The structure in POSCAR format:
```
TmZnGe
1.0
0.0000 3.2966 3.2966
3.2966 0.0000 3.2966
3.2966 3.2966 0.0000
Tm Zn Ge
1 1 1
Cartesian
0.0000 0.0000 0.0000 Tm
1.6483 1.6483 1.6483 Zn
4.9449 4.9449 4.9449 Ge
```

## Properties
**Total magnetization**: 0.0008 μB/atom
**E_tot**: -3.5508 eV/atom
**Crystal system**: cubic
**ρ**: 7.11 g/cm³



Entry 5:
Here is crystalline Tm4Zn5Ge6 at its relaxed geometry from the Open Quantum Materials Database. Energies are from PBE.

The structure in POSCAR format:
```
Tm4Zn5Ge6
1.0
2.1057 -9.2117 0.0000
2.1057 9.2117 0.0000
0.0000 0.0000 15.1728
Tm Zn Ge
8 10 12
Cartesian
2.1057 8.8741 7.5864 Tm
2.1057 8.6120 11.6006 Tm
2.1057 6.1374 4.6147 Tm
2.1057 5.9890 14.3365 Tm
2.1057 -5.9890 6.7501 Tm
2.1057 -6.1374 12.2011 Tm
2.1057 -8.6120 4.0142 Tm
2.1057 -8.8741 0.0000 Tm
2.1057 6.4255 9.5246 Zn
2.1057 3.6672 9.4814 Zn
2.1057 2.8607 4.1717 Zn
2.1057 2.7759 14.8989 Zn
2.1057 1.2057 10.4249 Zn
2.1057 -1.2057 2.8385 Zn
2.1057 -2.7759 7.3125 Zn
2.1057 -2.8607 11.7581 Zn
2.1057 -3.6672 1.8950 Zn
2.1057 -6.4255 1.9382 Zn
2.1057 7.1510 1.7784 Ge
2.1057 5.0861 7.3684 Ge
2.1057 4.9933 11.6364 Ge
2.1057 1.2774 6.2170 Ge
2.1057 1.2180 1.9720 Ge
2.1057 1.1070 12.9798 Ge
2.1057 -1.1070 5.3934 Ge
2.1057 -1.2180 9.5585 Ge
2.1057 -1.2774 13.8034 Ge
2.1057 -4.9933 4.0500 Ge
2.1057 -5.0861 14.9548 Ge
2.1057 -7.1510 9.3648 Ge
```

## Properties
**Total magnetization**: 0.0001 μB/atom
**E_tot**: -3.9860 eV/atom
**Crystal system**: orthorhombic
**ρ**: 8.12 g/cm³



Entry 6:
Here is crystalline TmZnGe at its relaxed geometry from the Open Quantum Materials Database. Energies are from PBE.

The structure in POSCAR format:
```
TmZnGe
1.0
4.2127 0.0000 0.0000
-2.1063 3.6483 0.0000
0.0000 0.0000 15.3498
Tm Zn Ge
4 4 4
Cartesian
0.0000 0.0000 0.0000 Tm
0.0000 0.0000 3.8374 Tm
0.0000 0.0000 7.6749 Tm
0.0000 0.0000 11.5123 Tm
0.0000 2.4322 2.2858 Zn
0.0000 2.4322 5.3891 Zn
2.1063 1.2161 9.9607 Zn
2.1063 1.2161 13.0640 Zn
0.0000 2.4322 9.4050 Ge
0.0000 2.4322 13.6197 Ge
2.1063 1.2161 1.7301 Ge
2.1063 1.2161 5.9448 Ge
```

## Properties
**Total magnetization**: 0.0001 μB/atom
**E_tot**: -4.0814 eV/atom
**Crystal system**: hexagonal
**ρ**: 8.64 g/cm³



Entry 7:
Here is crystalline TmZnGe at its relaxed geometry from the Open Quantum Materials Database. Energies are from PBE.

The structure in POSCAR format:
```
TmZnGe
1.0
0.0000 3.1884 3.1884
3.1884 0.0000 3.1884
3.1884 3.1884 0.0000
Tm Zn Ge
1 1 1
Cartesian
0.0000 0.0000 0.0000 Tm
3.1884 3.1884 3.1884 Zn
1.5942 1.5942 1.5942 Ge
```

## Properties
**Total magnetization**: 0.0001 μB/atom
**E_tot**: -3.7803 eV/atom
**Crystal system**: cubic
**ρ**: 7.86 g/cm³



Entry 8:
Here is crystalline UGe3 at its relaxed geometry from the Open Quantum Materials Database. Energies are from PBE.

The structure in POSCAR format:
```
UGe3
1.0
4.2020 0.0000 0.0000
0.0000 4.2020 0.0000
0.0000 0.0000 4.2020
U Ge
1 3
Cartesian
0.0000 0.0000 0.0000 U
0.0000 2.1010 2.1010 Ge
2.1010 0.0000 2.1010 Ge
2.1010 2.1010 0.0000 Ge
```

## Properties
**Total magnetization**: 0.0105 μB/atom
**E_tot**: -6.6115 eV/atom
**Crystal system**: cubic
**ρ**: 10.20 g/cm³



ρ of number 4 (TmZnGe)? 7.11 g/cm³



total magnetization of number 1 (Tm2Ge)? 0.0045 μB/atom



Look up the E_tot of the second one. -5.1325 eV/atom